VASP calculation (PBE) on a relaxed MnAg2Te crystal.

```
MnAg2Te
1.0
3.800 0.000 0.000
0.000 3.800 0.000
0.000 0.000 5.654
Mn Ag Te
1 2 1
Cartesian
0.000 0.000 0.000
1.900 1.900 1.352
1.900 1.900 4.302
0.000 0.000 2.827
```

Calculated density, g cm⁻³: 8.10
Energy relative to the elements, uncorrected, meV/atom: 202
Raw total energy, eV per atom: -4.30
DOS(E_F), states/eV per cell: 1.90
Magnetic moment, μB/f.u.: 4.5

***

VASP calculation (PBE) on a relaxed AcYCoPd crystal.

```
AcYCoPd
1.0
0.000 3.592 3.592
3.592 0.000 3.592
3.592 3.592 0.000
Ac Y Co Pd
1 1 1 1
Cartesian
0.000 0.000 0.000
3.592 3.592 3.592
1.796 1.796 1.796
5.389 5.389 5.389
```

Energy of formation, eV per formula unit: -1.2
Calculated density, g cm⁻³: 8.62
Raw total energy, eV per atom: -6.01
DOS(E_F), states/eV per cell: 2.71
Magnetic moment, μB/f.u.: 0.4

***

VASP calculation (PBE) on a relaxed CsNb2CdAg crystal.

```
CsNb2CdAg
1.0
5.092 0.000 0.000
0.000 5.092 0.000
0.000 0.000 5.803
Cs Nb Cd Ag
1 2 1 1
Cartesian
0.000 0.000 0.000
0.000 2.546 0.000
2.546 0.000 0.000
0.000 0.000 2.902
2.546 2.546 2.902
```

Energy of formation, eV per formula unit: 12.7
Calculated density, g cm⁻³: 5.95
Raw total energy, eV per atom: -2.41
DOS(E_F), states/eV per cell: 3.86
Magnetic moment, μB/f.u.: 0.0

***

VASP calculation (PBE) on a relaxed Cs4K crystal.

```
Cs4K
1.0
-5.049 5.049 5.693
5.049 -5.049 5.693
5.049 5.049 -5.693
Cs K
4 1
Cartesian
3.024 3.024 -1.757
2.024 -2.024 7.450
2.024 2.024 3.936
-2.024 2.024 7.450
0.000 0.000 0.000
```

Energy of formation, eV per formula unit: 0.2
Calculated density, g cm⁻³: 1.63
Raw total energy, eV per atom: -0.86
DOS(E_F), states/eV per cell: 5.45
Energy above the most stable polymorph in this dataset, eV per formula unit: 0.08
Magnetic moment, μB/f.u.: 0.0

***

VASP calculation (PBE) on a relaxed SrZnP2S crystal.

```
SrZnP2S
1.0
5.682 0.000 0.000
0.000 5.682 0.000
0.000 0.000 5.455
Sr Zn P S
1 1 2 1
Cartesian
0.000 0.000 0.000
2.841 2.841 2.728
0.000 2.841 0.000
2.841 0.000 0.000
0.000 0.000 2.728
```

Calculated density, g cm⁻³: 2.33
Energy relative to the elements, uncorrected, meV/atom: 1059
Raw total energy, eV per atom: -2.52
DOS(E_F), states/eV per cell: 6.78
Energy above the most stable polymorph in this dataset, eV per formula unit: 5.83
Magnetic moment, μB/f.u.: 1.5

***

VASP calculation (PBE) on a relaxed La2CeCoPb crystal.

```
La2CeCoPb
1.0
5.451 0.000 0.000
0.000 5.451 0.000
0.000 0.000 4.984
La Ce Co Pb
2 1 1 1
Cartesian
0.000 2.726 0.000
2.726 0.000 0.000
0.000 0.000 2.492
0.000 0.000 0.000
2.726 2.726 2.492
```

Energy of formation, eV per formula unit: -1.8
Calculated density, g cm⁻³: 7.67
Raw total energy, eV per atom: -5.67
DOS(E_F), states/eV per cell: 8.10
Magnetic moment, μB/f.u.: 0.8